[1]
Ta2MnOs | PBE | optimized geometry

The structure in CIF format:
```
data_Ta2MnOs
_chemical_formula_sum 'Ta2 Mn1 Os1'
_space_group_name_H-M_alt 'P 4 m m'
_space_group_IT_number 99
_cell_length_a 3.169
_cell_length_b 3.169
_cell_length_c 6.287
_cell_angle_alpha 90.00
_cell_angle_beta 90.00
_cell_angle_gamma 90.00
loop_
_space_group_symop_operation_xyz
'x,y,z'
'-y,x,z'
'-x,-y,z'
'y,-x,z'
'-x,y,z'
'y,x,z'
'x,-y,z'
'-y,-x,z'
loop_
_atom_site_label
_atom_site_type_symbol
_atom_site_fract_x
_atom_site_fract_y
_atom_site_fract_z
Ta1 Ta 0.000 0.000 0.000
Ta2 Ta 0.500 0.500 0.284
Mn1 Mn 0.000 0.000 0.512
Os1 Os 0.500 0.500 0.760
```

Results
energy relative to the elements = -0.0943 eV per atom
M_tot = 2.08 Bohr magnetons per cell
polymorph energy (0 for the lowest one) = 180.1 meV/atom
final energy = -11.120 eV per atom
calculated volume = 63.13 Å³ per cell

[2]
Ta2MnOs | PBE | optimized geometry

The structure in CIF format:
```
data_Ta2MnOs
_chemical_formula_sum 'Ta8 Mn4 Os4'
_space_group_name_H-M_alt 'F m -3 m'
_space_group_IT_number 225
_space_group_name_Hall '-F 4 2 3'
_cell_length_a 6.266
_cell_length_b 6.266
_cell_length_c 6.266
_cell_angle_alpha 90.00
_cell_angle_beta 90.00
_cell_angle_gamma 90.00
loop_
_atom_site_label
_atom_site_type_symbol
_atom_site_fract_x
_atom_site_fract_y
_atom_site_fract_z
Ta1 Ta 0.250 0.250 0.250
Mn1 Mn 0.000 0.000 0.000
Os1 Os 0.000 0.000 0.500
```

Results
energy relative to the elements = -0.2744 eV per atom
M_tot = 0.00 Bohr magnetons per cell
polymorph energy (0 for the lowest one) = 0.0 meV/atom
final energy = -11.300 eV per atom
calculated volume = 245.97 Å³ per cell

[3]
Ta4MnOs3 | PBE | optimized geometry

The structure in CIF format:
```
data_Ta4MnOs3
_chemical_formula_sum 'Ta8 Mn2 Os6'
_space_group_name_H-M_alt 'I 4/m m m'
_space_group_IT_number 139
_space_group_name_Hall '-I 4 2'
_cell_length_a 4.414
_cell_length_b 4.414
_cell_length_c 13.034
_cell_angle_alpha 90.00
_cell_angle_beta 90.00
_cell_angle_gamma 90.00
loop_
_atom_site_label
_atom_site_type_symbol
_atom_site_fract_x
_atom_site_fract_y
_atom_site_fract_z
Ta1 Ta 0.000 0.500 0.121
Mn1 Mn 0.000 0.000 0.000
Os1 Os 0.000 0.000 0.249
Os2 Os 0.000 0.000 0.500
```

Results
energy relative to the elements = -0.2579 eV per atom
M_tot = 2.42 Bohr magnetons per cell
final energy = -11.542 eV per atom
calculated volume = 253.96 Å³ per cell

[4]
Ta6Mn5Os | PBE | optimized geometry

The structure in CIF format:
```
data_Ta6Mn5Os
_chemical_formula_sum 'Ta12 Mn10 Os2'
_space_group_name_H-M_alt 'I m m m'
_space_group_IT_number 71
_space_group_name_Hall '-I 2 2'
_cell_length_a 4.372
_cell_length_b 6.178
_cell_length_c 13.075
_cell_angle_alpha 90.00
_cell_angle_beta 90.00
_cell_angle_gamma 90.00
loop_
_atom_site_label
_atom_site_type_symbol
_atom_site_fract_x
_atom_site_fract_y
_atom_site_fract_z
Ta1 Ta 0.000 0.243 0.000
Ta2 Ta 0.000 0.253 0.330
Mn1 Mn 0.000 0.000 0.167
Mn2 Mn 0.000 0.500 0.166
Mn3 Mn 0.000 0.500 0.500
Os1 Os 0.000 0.000 0.500
```

Results
energy relative to the elements = -0.2711 eV per atom
M_tot = 0.00 Bohr magnetons per cell
final energy = -10.954 eV per atom
calculated volume = 353.15 Å³ per cell

[5]
Ta3MnOs | PBE | optimized geometry

The structure in CIF format:
```
data_Ta3MnOs
_chemical_formula_sum 'Ta3 Mn1 Os1'
_space_group_name_H-M_alt 'P m -3 m'
_space_group_IT_number 221
_space_group_name_Hall '-P 4 2 3'
_cell_length_a 4.496
_cell_length_b 4.496
_cell_length_c 4.496
_cell_angle_alpha 90.00
_cell_angle_beta 90.00
_cell_angle_gamma 90.00
loop_
_atom_site_label
_atom_site_type_symbol
_atom_site_fract_x
_atom_site_fract_y
_atom_site_fract_z
Ta1 Ta 0.000 0.000 0.500
Mn1 Mn 0.000 0.000 0.000
Os1 Os 0.500 0.500 0.500
```

Results
energy relative to the elements = 0.9969 eV per atom
M_tot = 0.00 Bohr magnetons per cell
polymorph energy (0 for the lowest one) = 0.0 meV/atom
final energy = -10.195 eV per atom
calculated volume = 90.88 Å³ per cell

[6]
TaMnOs4 | PBE | optimized geometry

The structure in CIF format:
```
data_TaMnOs4
_chemical_formula_sum 'Ta4 Mn4 Os16'
_space_group_name_H-M_alt 'F -4 3 m'
_space_group_IT_number 216
_space_group_name_Hall 'F -4 2 3'
_cell_length_a 7.262
_cell_length_b 7.262
_cell_length_c 7.262
_cell_angle_alpha 90.00
_cell_angle_beta 90.00
_cell_angle_gamma 90.00
loop_
_atom_site_label
_atom_site_type_symbol
_atom_site_fract_x
_atom_site_fract_y
_atom_site_fract_z
Ta1 Ta 0.000 0.000 0.000
Mn1 Mn 0.250 0.250 0.750
Os1 Os 0.124 0.124 0.376
```

Results
energy relative to the elements = 0.2526 eV per atom
M_tot = 15.86 Bohr magnetons per cell
polymorph energy (0 for the lowest one) = 79.7 meV/atom
final energy = -10.738 eV per atom
calculated volume = 382.93 Å³ per cell

[7]
TaMn2Os2 | PBE | optimized geometry

The structure in CIF format:
```
data_TaMn2Os2
_chemical_formula_sum 'Ta2 Mn4 Os4'
_space_group_name_H-M_alt 'P 4/m b m'
_space_group_IT_number 127
_space_group_name_Hall '-P 4 2ab'
_cell_length_a 7.149
_cell_length_b 7.149
_cell_length_c 2.715
_cell_angle_alpha 90.00
_cell_angle_beta 90.00
_cell_angle_gamma 90.00
loop_
_atom_site_label
_atom_site_type_symbol
_atom_site_fract_x
_atom_site_fract_y
_atom_site_fract_z
Ta1 Ta 0.000 0.000 0.000
Mn1 Mn 0.119 0.381 0.000
Os1 Os 0.174 0.674 0.500
```

Results
energy relative to the elements = 0.0108 eV per atom
M_tot = 0.00 Bohr magnetons per cell
polymorph energy (0 for the lowest one) = 0.0 meV/atom
final energy = -10.519 eV per atom
calculated volume = 138.75 Å³ per cell

[8]
Ta2MnOs | PBE | optimized geometry

The structure in CIF format:
```
data_Ta2MnOs
_chemical_formula_sum 'Ta6 Mn3 Os3'
_space_group_name_H-M_alt 'R -3 m'
_space_group_IT_number 166
_space_group_name_Hall '-R 3 2"'
_cell_length_a 2.9939
_cell_length_b 2.9939
_cell_length_c 24.4542
_cell_angle_alpha 90.00
_cell_angle_beta 90.00
_cell_angle_gamma 120.00
loop_
_atom_site_label
_atom_site_type_symbol
_atom_site_fract_x
_atom_site_fract_y
_atom_site_fract_z
Ta1 Ta 0.0000 0.0000 0.2456
Mn1 Mn 0.0000 0.0000 0.5000
Os1 Os 0.0000 0.0000 0.0000
```

Results
energy relative to the elements = 0.1338 eV per atom
M_tot = 0.84 Bohr magnetons per cell
polymorph energy (0 for the lowest one) = 408.1 meV/atom
final energy = -10.892 eV per atom
calculated volume = 189.82 Å³ per cell